Below is an optimized crystal structure of MgMn6Nb4O18, with properties calculated at the PBE with a Hubbard U level.

```
29
Lattice="5.302 0.000 0.000 -2.651 4.592 0.000 0.000 0.000 14.356" Properties=species:S:1:pos:R:3 pbc="T T T"
Mg 0.000 0.000 0.000
Mn 0.000 0.000 4.514
Mn 0.000 0.000 11.368
Mn 0.000 3.061 1.445
Mn 0.000 3.061 4.489
Mn 0.000 3.061 7.528
Mn 0.000 3.061 11.758
Nb 2.651 1.531 2.383
Nb 2.651 1.531 6.578
Nb 2.651 1.531 9.689
Nb 2.651 1.531 13.617
O -0.904 1.596 5.768
O -0.967 1.726 10.654
O -1.750 3.110 12.875
O 0.832 1.521 12.875
O -0.817 4.577 5.768
O 0.924 1.594 3.199
O -0.673 4.567 10.654
O 1.835 0.276 0.782
O 1.212 1.720 8.157
O 1.640 2.891 10.654
O 3.207 0.189 8.157
O 1.721 3.011 5.768
O 3.460 0.003 3.199
O 0.917 4.552 12.875
O 1.973 2.865 0.782
O 4.146 1.451 0.782
O 3.535 2.682 8.157
O 3.570 2.995 3.199
```

Properties
**ΔE to the lowest computed polymorph**: 0.038 eV/atom
**Crystal system**: trigonal